No. 1
# SnHS2N

An optimized crystal structure of SnHS2N (PBE, Alexandria).

Properties
* energy: -16.9 eV per cell
* energy above the lowest structure with this stoichiometry: 491.4 meV/atom

Cell: 5.1117 5.1117 4.2526 Å, 90.00 90.00 90.00°
Space group P4/mmm (No. 123)
Asymmetric unit:
1 Sn 0.0000 0.0000 0.0000
2 H 0.5000 0.5000 0.5000
3 S 0.0000 0.5000 0.0000
4 N 0.0000 0.0000 0.5000

=====

No. 2
# TbEr3Sn2

An optimized crystal structure of TbEr3Sn2 (PBE, Alexandria).

Properties
* energy: -116.9 eV per cell
* calculated formation energy: -0.483 eV per atom

Cell: 17.8001 4.5118 9.4626 Å, 90.00 113.54 90.00°
Space group C2/m (No. 12)
Asymmetric unit:
1 Tb 0.1139 0.0000 0.1269
2 Er 0.0556 0.0000 0.6893
3 Er 0.1460 0.5000 0.4835
4 Er 0.1917 0.5000 0.8904
5 Sn 0.0078 0.5000 0.8522
6 Sn 0.2455 0.0000 0.7174

=====

No. 3
# CdSe2Br

An optimized crystal structure of CdSe2Br (PBE, Alexandria).

Properties
* energy: -21.3 eV per cell
* energy above the lowest structure with this stoichiometry: 22.7 meV/atom
* formation energy without anion corrections: -0.275 eV per atom

Cell: 12.1887 4.1446 4.8938 Å, 90.00 104.99 90.00°
Space group Cm (No. 8)
Asymmetric unit:
1 Cd 0.0000 0.0000 0.0000
2 Se 0.0958 0.5000 0.3690
3 Se 0.4538 0.0000 0.6124
4 Br 0.2806 0.5000 0.0270

=====

No. 4
# LiGa2ReCl

An optimized crystal structure of LiGa2ReCl (PBE, Alexandria).

Properties
* energy: -19.9 eV per cell
* formation energy without anion corrections: 0.472 eV per atom

Cell: 4.8284 4.8284 5.7583 Å, 90.00 90.00 90.00°
Space group P4/mmm (No. 123)
Asymmetric unit:
1 Li 0.0000 0.0000 0.0000
2 Ga 0.0000 0.5000 0.5000
3 Re 0.0000 0.0000 0.5000
4 Cl 0.5000 0.5000 0.0000

=====

No. 5
# CaPrO2

An optimized crystal structure of CaPrO2 (PBE, Alexandria).

Properties
* energy: -81.6 eV per cell
* energy above the lowest structure with this stoichiometry: 159.0 meV/atom
* formation energy without anion corrections: -2.625 eV per atom

Cell: 3.4112 3.4112 18.5603 Å, 90.00 90.00 120.00°
Space group R3m (No. 160, hexagonal axes)
Asymmetric unit:
1 Ca 0.0000 0.0000 0.0000
2 Pr 0.0000 0.0000 0.8280
3 O 0.0000 0.0000 0.2495
4 O 0.0000 0.0000 0.4077

=====

No. 6
# MnCo2Os

An optimized crystal structure of MnCo2Os (PBE, Alexandria).

Properties
* energy: -34.3 eV per cell
* energy above the lowest structure with this stoichiometry: 9.4 meV/atom
* calculated formation energy: 0.069 eV per atom

Cell: 3.6084 3.6084 3.6276 Å, 90.00 90.00 90.00°
Space group P4/mmm (No. 123)
Asymmetric unit:
1 Mn 0.0000 0.0000 0.0000
2 Co 0.0000 0.5000 0.5000
3 Os 0.5000 0.5000 0.0000

=====

Question: Which formula does entry 2 have?
Answer: TbEr3Sn2

=====

Question: What is the energy in the second record?
Answer: -116.9 eV per cell

=====

Question: Which value of energy does entry 6 give?
Answer: -34.3 eV per cell